Entry 1:
# NiMo2Ru

An optimized crystal structure of NiMo2Ru (PBEsol, Alexandria).

POSCAR file:
```
NiMo2Ru
1.0
2.702 0.000 0.000
0.000 4.621 -0.020
0.000 -1.541 4.357
Ni Mo Ru
1 2 1
Cartesian
1.351 0.000 0.000
0.000 -0.770 2.178
0.000 2.311 -0.010
1.351 1.540 2.168
```

The calculation puts the formation energy from the elements at 0.0234 eV per atom. The value obtained for the total energy is -0.731 Ry/atom. The value obtained for the density of states at the Fermi level is 3.164 states/eV/f.u.


Entry 2:
# ScSi3Ag

An optimized crystal structure of ScSi3Ag (PBEsol, Alexandria).

POSCAR file:
```
ScSi3Ag
1.0
4.907 0.000 0.000
0.000 4.907 0.000
0.000 0.000 4.907
Si Sc Ag
3 1 1
Cartesian
0.000 2.454 0.000
0.000 0.000 2.454
2.454 0.000 0.000
0.000 0.000 0.000
2.454 2.454 2.454
```

The value obtained for the total energy is -0.323 Ry/atom. The value obtained for the density of states at the Fermi level is 2.960 states/eV/f.u. The energy relative to the elements, uncorrected comes out at 1.04 eV per atom.


Entry 3:
# ZrPtW2

An optimized crystal structure of ZrPtW2 (PBEsol, Alexandria).

POSCAR file:
```
ZrPtW2
1.0
-2.173 -0.853 1.458
1.963 -4.094 0.530
2.830 1.887 4.088
W Pt Zr
2 1 1
Cartesian
-0.078 -2.292 2.298
-0.073 -0.006 0.222
2.779 -0.774 3.440
0.321 0.528 2.890
```

The calculation puts the formation energy from the elements at -0.0907 eV per atom. The value obtained for the total energy is -0.809 Ry/atom. The value obtained for the density of states at the Fermi level is 3.051 states/eV/f.u. As for the energy above the most stable polymorph in this dataset: 0.0 meV per atom.